! PBE In3PPd, optimized geometry; values from VASP
! symmetry: No. 221
! total DFT energy (no corrections): -16.446 eV/cell
! DFT formation energy: 229 kJ/mol of formula units
! D(E_F): 2.10 states/eV/f.u.
&SYSTEM
  ibrav = 0, nat = 5, ntyp = 3
/
ATOMIC_SPECIES
P 30.97 P.upf
Pd 106.42 Pd.upf
In 114.82 In.upf
ATOMIC_POSITIONS angstrom
P 0.0000 0.0000 0.0000
Pd 2.5651 2.5651 2.5651
In 0.0000 2.5651 0.0000
In 0.0000 0.0000 2.5651
In 2.5651 0.0000 0.0000
CELL_PARAMETERS angstrom
5.1301 0.0000 0.0000
0.0000 5.1301 0.0000
0.0000 0.0000 5.1301

---

! PBE InP2Pd7, optimized geometry; values from VASP
! symmetry: No. 139
! total DFT energy (no corrections): -54.940 eV/cell
! DFT formation energy: -486 kJ/mol of formula units
! D(E_F): 4.69 states/eV/f.u.
&SYSTEM
  ibrav = 0, nat = 10, ntyp = 3
/
ATOMIC_SPECIES
In 114.82 In.upf
P 30.97 P.upf
Pd 106.42 Pd.upf
ATOMIC_POSITIONS angstrom
In 0.0000 0.0000 0.0000
P -3.4761 -1.9055 1.9973
P -4.7803 1.4344 4.1016
Pd -1.2022 -1.2300 2.3392
Pd -5.4008 0.0299 5.9416
Pd -2.8556 -0.5009 0.1573
Pd -0.9474 -2.6643 -0.1724
Pd -4.9548 0.1290 1.9585
Pd -7.0541 0.7589 3.7597
Pd -3.3015 -0.6001 4.1404
CELL_PARAMETERS angstrom
-2.6007 -1.9352 -2.3543
0.7059 -3.3933 2.0095
-6.3616 4.8575 6.4436

---

! PBE InPPd3, optimized geometry; values from VASP
! symmetry: No. 6
! total DFT energy (no corrections): -51.256 eV/cell
! DFT formation energy: -183 kJ/mol of formula units
! D(E_F): 2.33 states/eV/f.u.
&SYSTEM
  ibrav = 0, nat = 10, ntyp = 3
/
ATOMIC_SPECIES
In 114.82 In.upf
P 30.97 P.upf
Pd 106.42 Pd.upf
ATOMIC_POSITIONS angstrom
In -8.0186 -3.8148 -5.2099
In -4.2373 0.2419 -0.9652
P -5.1968 -0.8459 -5.0334
P -5.8470 -3.5694 -1.6741
Pd -7.6776 -2.4085 -2.8024
Pd -9.7641 -2.2498 -6.8600
Pd -4.8759 1.0880 -3.5401
Pd -1.5592 0.2714 -0.2832
Pd -7.6151 -0.8996 -5.2052
Pd -4.8594 -1.7621 -2.8913
CELL_PARAMETERS angstrom
-2.1213 1.9459 1.1673
-4.0776 -0.2985 -6.9132
-5.9344 -5.4671 -1.6711

---

! PBE In5P2Pd12, optimized geometry; values from VASP
! symmetry: No. 12
! total DFT energy (no corrections): -93.662 eV/cell
! DFT formation energy: -660 kJ/mol of formula units
! D(E_F): 6.44 states/eV/f.u.
&SYSTEM
  ibrav = 0, nat = 19, ntyp = 3
/
ATOMIC_SPECIES
In 114.82 In.upf
P 30.97 P.upf
Pd 106.42 Pd.upf
ATOMIC_POSITIONS angstrom
In 3.1367 -1.1909 2.2638
In 1.9379 -3.1507 0.2329
In 1.8045 1.7199 2.4633
In 1.9511 -1.2187 6.5306
In 0.7524 -3.1785 4.4998
P -3.5129 -1.8737 3.8818
P -1.2088 -0.6448 1.3357
Pd 1.0606 -0.2268 0.8503
Pd 5.7630 -0.8435 2.7168
Pd 3.9182 -1.8275 4.7552
Pd 4.7092 -2.9747 0.7364
Pd 2.8662 -3.9577 2.7729
Pd 0.6243 1.2552 6.5240
Pd 3.2648 -5.6246 0.2396
Pd -0.8202 -1.3947 6.0272
Pd 1.0228 -0.4116 3.9906
Pd -1.8739 -3.5258 4.0468
Pd -0.0292 -2.5419 2.0083
Pd 2.8285 -4.1425 5.9133
CELL_PARAMETERS angstrom
-4.7217 -2.5185 5.2175
5.0018 -5.2907 -3.3805
3.6090 3.4398 4.9265

---

| no. | total magnetization (μB/f.u.) |
| --- | --- |
| 1 | 0.0 |
| 2 | 0.0 |
| 3 | 0.0 |
| 4 | 0.0 |